PBE ScInOF2, optimized geometry; formation energy without anion corrections = -1561 meV/atom; M_tot = 1.311 μB per cell
1.0
4.479 0.000 0.000
0.000 4.479 0.000
0.000 0.000 4.286
Sc In O F
1 1 1 2
direct
0.000 0.000 0.000 Sc
0.500 0.500 0.500 In
0.500 0.500 0.000 O
0.000 0.500 0.500 F
0.500 0.000 0.500 F

---

PBE InSeOF2, optimized geometry; formation energy without anion corrections = -970 meV/atom; M_tot = 0.000 μB per cell
1.0
4.686 0.000 0.000
0.000 4.686 0.000
0.000 0.000 3.811
In Se O F
1 1 1 2
direct
0.000 0.000 0.000 In
0.500 0.500 0.500 Se
0.500 0.500 0.000 O
0.000 0.500 0.500 F
0.500 0.000 0.500 F

---

PBE InSeO2F, optimized geometry; formation energy without anion corrections = -666 meV/atom; M_tot = 0.000 μB per cell
1.0
3.961 0.000 0.000
0.000 3.961 0.000
0.000 0.000 4.549
In Se O F
1 1 2 1
direct
0.000 0.000 0.000 In
0.500 0.500 0.500 Se
0.000 0.500 0.500 O
0.500 0.000 0.500 O
0.500 0.500 0.000 F

---

PBE InSeOF2, optimized geometry; formation energy without anion corrections = -1005 meV/atom; M_tot = 2.972 μB per cell
1.0
4.380 0.000 0.000
0.000 4.380 0.000
0.000 0.000 4.273
In Se O F
1 1 1 2
direct
0.000 0.000 0.000 In
0.500 0.500 0.500 Se
0.000 0.000 0.500 O
0.000 0.500 0.000 F
0.500 0.000 0.000 F

---

PBE InSeO2F, optimized geometry; formation energy without anion corrections = -517 meV/atom; M_tot = 0.083 μB per cell
1.0
4.250 0.000 0.000
0.000 4.250 0.000
0.000 0.000 4.105
In Se O F
1 1 2 1
direct
0.000 0.000 0.000 In
0.500 0.500 0.500 Se
0.000 0.500 0.000 O
0.500 0.000 0.000 O
0.000 0.000 0.500 F

---

PBE InSiO2F, optimized geometry; formation energy without anion corrections = -1580 meV/atom; M_tot = 0.000 μB per cell
1.0
3.512 0.000 0.000
0.000 3.512 0.000
0.000 0.000 4.983
In Si O F
1 1 2 1
direct
0.000 0.000 0.000 In
0.500 0.500 0.500 Si
0.000 0.500 0.500 O
0.500 0.000 0.500 O
0.500 0.500 0.000 F

---

PBE InSiOF2, optimized geometry; formation energy without anion corrections = -1027 meV/atom; M_tot = 0.795 μB per cell
1.0
4.418 0.000 0.000
0.000 4.418 0.000
0.000 0.000 4.140
In Si O F
1 1 1 2
direct
0.000 0.000 0.000 In
0.500 0.500 0.500 Si
0.000 0.000 0.500 O
0.000 0.500 0.000 F
0.500 0.000 0.000 F

---

PBE InSiO2F, optimized geometry; formation energy without anion corrections = -799 meV/atom; M_tot = 0.000 μB per cell
1.0
4.145 0.000 0.000
0.000 4.145 0.000
0.000 0.000 4.036
In Si O F
1 1 2 1
direct
0.000 0.000 0.000 In
0.500 0.500 0.500 Si
0.000 0.500 0.000 O
0.500 0.000 0.000 O
0.000 0.000 0.500 F

---

PBE InSnO2F, optimized geometry; formation energy without anion corrections = -1347 meV/atom; M_tot = 0.000 μB per cell
1.0
4.234 0.000 0.000
0.000 4.234 0.000
0.000 0.000 4.224
In Sn O F
1 1 2 1
direct
0.000 0.000 0.000 In
0.500 0.500 0.500 Sn
0.000 0.500 0.000 O
0.500 0.000 0.000 O
0.000 0.000 0.500 F

---

PBE InSnOF2, optimized geometry; formation energy without anion corrections = -1615 meV/atom; M_tot = 0.000 μB per cell
1.0
4.630 0.000 0.000
0.000 4.630 0.000
0.000 0.000 4.166
In Sn O F
1 1 1 2
direct
0.000 0.000 0.000 In
0.500 0.500 0.500 Sn
0.500 0.500 0.000 O
0.000 0.500 0.500 F
0.500 0.000 0.500 F

---

PBE InSnO2F, optimized geometry; formation energy without anion corrections = -1357 meV/atom; M_tot = 0.000 μB per cell
1.0
4.097 0.000 0.000
0.000 4.097 0.000
0.000 0.000 4.398
In Sn O F
1 1 2 1
direct
0.000 0.000 0.000 In
0.500 0.500 0.500 Sn
0.000 0.500 0.500 O
0.500 0.000 0.500 O
0.500 0.500 0.000 F

---

PBE InSnOF2, optimized geometry; formation energy without anion corrections = -1467 meV/atom; M_tot = 0.000 μB per cell
1.0
4.475 0.000 0.000
0.000 4.475 0.000
0.000 0.000 4.261
In Sn O F
1 1 1 2
direct
0.000 0.000 0.000 In
0.500 0.500 0.500 Sn
0.000 0.000 0.500 O
0.000 0.500 0.000 F
0.500 0.000 0.000 F

---

PBE SrInOF2, optimized geometry; formation energy without anion corrections = -2062 meV/atom; M_tot = 1.000 μB per cell
1.0
4.671 0.000 0.000
0.000 4.671 0.000
0.000 0.000 4.895
Sr In O F
1 1 1 2
direct
0.000 0.000 0.000 Sr
0.500 0.500 0.500 In
0.000 0.000 0.500 O
0.000 0.500 0.000 F
0.500 0.000 0.000 F

---

PBE SrInO2F, optimized geometry; formation energy without anion corrections = -1284 meV/atom; M_tot = 2.000 μB per cell
1.0
4.742 0.000 0.000
0.000 4.742 0.000
0.000 0.000 4.636
Sr In O F
1 1 2 1
direct
0.000 0.000 0.000 Sr
0.500 0.500 0.500 In
0.000 0.500 0.000 O
0.500 0.000 0.000 O
0.000 0.000 0.500 F

---

PBE SrInO2F, optimized geometry; formation energy without anion corrections = -2268 meV/atom; M_tot = 0.000 μB per cell
1.0
4.221 0.000 0.000
0.000 4.221 0.000
0.000 0.000 4.279
Sr In O F
1 1 2 1
direct
0.000 0.000 0.000 Sr
0.500 0.500 0.500 In
0.000 0.500 0.500 O
0.500 0.000 0.500 O
0.500 0.500 0.000 F

---

PBE TaInO2F, optimized geometry; formation energy without anion corrections = -413 meV/atom; M_tot = 2.847 μB per cell
1.0
4.297 0.000 0.000
0.000 4.297 0.000
0.000 0.000 4.144
Ta In O F
1 1 2 1
direct
0.000 0.000 0.000 Ta
0.500 0.500 0.500 In
0.000 0.500 0.500 O
0.500 0.000 0.500 O
0.500 0.500 0.000 F

---

PBE TaInO2F, optimized geometry; formation energy without anion corrections = -1961 meV/atom; M_tot = 0.556 μB per cell
1.0
4.085 0.000 0.000
0.000 4.085 0.000
0.000 0.000 4.569
Ta In O F
1 1 2 1
direct
0.000 0.000 0.000 Ta
0.500 0.500 0.500 In
0.000 0.500 0.000 O
0.500 0.000 0.000 O
0.000 0.000 0.500 F

---

PBE InTcO4F, optimized geometry; formation energy without anion corrections = -1525 meV/atom; M_tot = 0.000 μB per cell
1.0
4.504 -3.448 0.000
4.504 3.448 0.000
-2.274 0.000 7.553
In Tc O F
2 2 8 2
direct
0.200 0.200 0.059 In
0.800 0.800 0.941 In
0.362 0.362 0.734 Tc
0.638 0.638 0.266 Tc
0.121 0.491 0.870 O
0.243 0.243 0.522 O
0.437 0.437 0.244 O
0.491 0.121 0.870 O
0.509 0.879 0.130 O
0.563 0.563 0.756 O
0.757 0.757 0.478 O
0.879 0.509 0.130 O
0.004 0.004 0.167 F
0.996 0.996 0.833 F

---

PBE InTcOF2, optimized geometry; formation energy without anion corrections = -1296 meV/atom; M_tot = 0.000 μB per cell
1.0
4.389 0.000 0.000
0.000 4.389 0.000
0.000 0.000 3.811
In Tc O F
1 1 1 2
direct
0.000 0.000 0.000 In
0.500 0.500 0.500 Tc
0.500 0.500 0.000 O
0.000 0.500 0.500 F
0.500 0.000 0.500 F

---

PBE InTcOF2, optimized geometry; formation energy without anion corrections = -744 meV/atom; M_tot = 4.466 μB per cell
1.0
4.371 0.000 0.000
0.000 4.371 0.000
0.000 0.000 4.108
In Tc O F
1 1 1 2
direct
0.000 0.000 0.000 In
0.500 0.500 0.500 Tc
0.000 0.000 0.500 O
0.000 0.500 0.000 F
0.500 0.000 0.000 F